The following is a GGA-PBE calculation of a relaxed structure of In14GaSb, from Alexandria via LeMat-Bulk.

Its uncorrected formation energy is 2.6 kJ per mole of atoms. The calculation puts the total magnetization at 0.00 μB/f.u. The value obtained for the total energy is -2.82 eV per atom.

It has space group Amm2 (No. 38), with a = 10.939 Å, b = 7.078 Å, c = 11.130 Å, α = 90.00°, β = 90.00° and γ = 90.00°. Symmetry generates all atoms from In at (0.000, 0.000, 0.000), In at (0.000, 0.000, 0.497), In at (0.000, 0.242, 0.751), In at (0.246, 0.000, 0.176), In at (0.252, 0.000, 0.682), In at (0.259, 0.249, 0.929), In at (0.500, 0.245, 0.617), Ga at (0.500, 0.000, 0.866) and Sb at (0.500, 0.000, 0.360).

***

The following is a GGA-PBE calculation of a relaxed structure of K2PmNi3H12, from Alexandria via LeMat-Bulk.

The calculation puts the total magnetization at 0.00 μB/f.u. The value obtained for the total energy is -3.81 eV per atom.

It has space group R-3m (No. 166, hexagonal axes), with a = 6.6072 Å, b = 6.6072 Å, c = 14.4894 Å, α = 90.00°, β = 90.00° and γ = 120.00°. Symmetry generates all atoms from K at (0.0000, 0.0000, 0.1078), Pm at (0.0000, 0.0000, 0.5000), Ni at (0.0000, 0.5000, 0.0000), H at (0.0330, 0.5165, 0.8947) and H at (0.1029, 0.5514, 0.3208).

***

The following is a GGA-PBE calculation of a relaxed structure of ErHfCdIr, from Alexandria via LeMat-Bulk.

The calculation puts the total magnetization at 0.00 μB/f.u. The value obtained for the total energy is -6.48 eV per atom. The calculation puts the energy of formation from the pure elements at -408 meV per atom.

It has space group F-43m (No. 216), with a = 6.901 Å, b = 6.901 Å, c = 6.901 Å, α = 90.00°, β = 90.00° and γ = 90.00°. Symmetry generates all atoms from Er at (0.000, 0.000, 0.000), Hf at (0.000, 0.000, 0.500), Cd at (0.250, 0.250, 0.750) and Ir at (0.250, 0.250, 0.250).

***

The following is a GGA-PBE calculation of a relaxed structure of Ce2PrSn, from Alexandria via LeMat-Bulk.

The calculation puts the total magnetization at 0.20 μB/f.u. The value obtained for the total energy is -5.58 eV per atom. The calculation puts the energy of formation from the pure elements at -414 meV per atom.

It has space group P2_1/m (No. 11), with a = 4.562 Å, b = 4.436 Å, c = 11.699 Å, α = 90.00°, β = 99.58° and γ = 90.00°. Symmetry generates all atoms from Ce at (0.000, 0.250, 0.113), Ce at (0.392, 0.250, 0.887), Pr at (0.300, 0.750, 0.610) and Sn at (0.178, 0.750, 0.322).

***

The following is a GGA-PBE calculation of a relaxed structure of La2ZrRe, from Alexandria via LeMat-Bulk.

The calculation puts the total magnetization at 0.00 μB/f.u. The value obtained for the total energy is -7.11 eV per atom. The calculation puts the energy of formation from the pure elements at 599 meV per atom.

It has space group I-42d (No. 122), with a = 9.572 Å, b = 9.572 Å, c = 5.413 Å, α = 90.00°, β = 90.00° and γ = 90.00°. Symmetry generates all atoms from La at (0.140, 0.750, 0.125), Zr at (0.000, 0.000, 0.500) and Re at (0.000, 0.000, 0.000).

***

The following is a GGA-PBE calculation of a relaxed structure of TbCeRu, from Alexandria via LeMat-Bulk.

The calculation puts the total magnetization at 0.46 μB/f.u. The value obtained for the total energy is -6.87 eV per atom. The calculation puts the energy of formation from the pure elements at -256 meV per atom.

It has space group P2_1/c (No. 14), with a = 6.908 Å, b = 6.459 Å, c = 7.575 Å, α = 90.00°, β = 92.54° and γ = 90.00°. Symmetry generates all atoms from Tb at (0.075, 0.249, 0.392), Ce at (0.417, 0.732, 0.883) and Ru at (0.274, 0.513, 0.156).

***

The following is a GGA-PBE calculation of a relaxed structure of HIrRu2Rh, from Alexandria via LeMat-Bulk.

The calculation puts the total magnetization at 0.00 μB/f.u. The value obtained for the total energy is -7.55 eV per atom.

It has space group P4/mmm (No. 123), with a = 3.887 Å, b = 3.887 Å, c = 3.889 Å, α = 90.00°, β = 90.00° and γ = 90.00°. Symmetry generates all atoms from H at (0.000, 0.000, 0.000), Ir at (0.500, 0.500, 0.500), Ru at (0.000, 0.500, 0.000) and Rh at (0.000, 0.000, 0.500).

***

The following is a GGA-PBE calculation of a relaxed structure of HoTlOs2O8, from Alexandria via LeMat-Bulk.

Its uncorrected formation energy is -133.6 kJ per mole of atoms. The calculation puts the total magnetization at 4.02 μB/f.u. The value obtained for the total energy is -7.14 eV per atom.

It has space group P-3 (No. 147), with a = 6.0199 Å, b = 6.0199 Å, c = 7.7648 Å, α = 90.00°, β = 90.00° and γ = 120.00°. Symmetry generates all atoms from Ho at (0.0000, 0.0000, 0.0000), Tl at (0.0000, 0.0000, 0.5000), Os at (0.3333, 0.6667, 0.2561), O at (0.1631, 0.3379, 0.1773) and O at (0.3333, 0.6667, 0.4838).

***

The following is a GGA-PBE calculation of a relaxed structure of TaBr, from Alexandria via LeMat-Bulk.

Its uncorrected formation energy is 30.7 kJ per mole of atoms. The calculation puts the total magnetization at 0.00 μB/f.u. The value obtained for the total energy is -6.44 eV per atom.

It has space group P6_3mc (No. 186), with a = 3.1624 Å, b = 3.1624 Å, c = 9.1910 Å, α = 90.00°, β = 90.00° and γ = 120.00°. Symmetry generates all atoms from Ta at (0.3333, 0.6667, 0.0000) and Br at (0.3333, 0.6667, 0.7096).

***

The following is a GGA-PBE calculation of a relaxed structure of Zr2AlAs2, from Alexandria via LeMat-Bulk.

The calculation puts the total magnetization at 0.00 μB/f.u. The value obtained for the total energy is -6.65 eV per atom. The calculation puts the energy of formation from the pure elements at -617 meV per atom.

It has space group P4/mbm (No. 127), with a = 7.459 Å, b = 7.459 Å, c = 3.604 Å, α = 90.00°, β = 90.00° and γ = 90.00°. Symmetry generates all atoms from Zr at (0.151, 0.349, 0.000), Al at (0.000, 0.000, 0.000) and As at (0.148, 0.648, 0.500).

***

The following is a GGA-PBE calculation of a relaxed structure of Sr2BiPd2, from Alexandria via LeMat-Bulk.

The calculation puts the total magnetization at 0.00 μB/f.u. The value obtained for the total energy is -4.07 eV per atom. The calculation puts the energy of formation from the pure elements at -542 meV per atom.

It has space group I4/mmm (No. 139), with a = 5.980 Å, b = 5.980 Å, c = 8.179 Å, α = 90.00°, β = 90.00° and γ = 90.00°. Symmetry generates all atoms from Sr at (0.000, 0.500, 0.250), Bi at (0.000, 0.000, 0.000) and Pd at (0.000, 0.000, 0.341).